No. 1
Rb3TeH PBE-GGA optimized geometry; total DFT energy (no corrections) = -2.543 eV per atom; space-group type = Pm-3m (221); energy above the lowest structure with this stoichiometry = 0.0 meV/atom; Fermi-level density of states = 0.000 states/eV/cell
1.0
-1.2549 5.3206 -1.4198
-4.2385 -1.8629 -3.2348
-3.5156 0.3467 4.4068
Rb H Te
3 1 1
Direct
0.0000 0.0000 0.5000
0.0000 0.5000 0.0000
0.5000 0.0000 0.0000
0.0000 0.0000 0.0000
0.5000 0.5000 0.5000

***

No. 2
RbTeH4 PBE-GGA optimized geometry; total DFT energy (no corrections) = -2.758 eV per atom; space-group type = P2/m (10); Fermi-level density of states = 0.954 states/eV/cell
1.0
-0.5208 -0.5555 -6.0801
2.1102 -4.3759 0.2190
-3.2451 -1.9871 0.4595
H Te Rb
4 1 1
Direct
0.0000 0.2055 0.4907
0.0000 0.7945 0.5093
0.5000 0.0213 0.0908
0.5000 0.9787 0.9092
0.0000 0.0000 0.0000
0.5000 0.5000 0.5000